# 1
The following is a DFT calculation (PBE-GGA) of PdPt2O4 after structural relaxation.

Output
Energy relative to the elements, uncorrected in meV per atom: 317.1
Size of the total moment in μB per formula unit: 0.00

```
data_PdPt2O4
_cell_length_a 4.684
_cell_length_b 4.684
_cell_length_c 8.718
_cell_angle_alpha 90.00
_cell_angle_beta 90.00
_cell_angle_gamma 105.33
_space_group_name_H-M_alt 'P 1'
_space_group_IT_number 1
loop_
_space_group_symop_operation_xyz
'x,y,z'
loop_
_atom_site_label
_atom_site_type_symbol
_atom_site_fract_x
_atom_site_fract_y
_atom_site_fract_z
_atom_site_occupancy
O1 O 0.500 0.000 0.316 1
O2 O 0.500 0.000 0.684 1
O3 O 0.345 0.196 0.000 1
O4 O 0.000 0.500 0.184 1
O5 O 0.000 0.500 0.816 1
O6 O 0.655 0.804 0.000 1
O7 O 0.804 0.655 0.500 1
O8 O 0.196 0.345 0.500 1
Pd1 Pd 0.500 0.500 0.750 1
Pd2 Pd 0.500 0.500 0.250 1
Pt1 Pt 0.844 0.229 0.000 1
Pt2 Pt 0.156 0.771 0.000 1
Pt3 Pt 0.229 0.844 0.500 1
Pt4 Pt 0.771 0.156 0.500 1
```



# 2
The following is a DFT calculation (PBE-GGA) of Pd2PtO after structural relaxation.

Output
Energy relative to the elements, uncorrected in meV per atom: 449.9
Size of the total moment in μB per formula unit: 0.00

```
data_Pd2PtO
_cell_length_a 4.842
_cell_length_b 4.842
_cell_length_c 6.945
_cell_angle_alpha 69.60
_cell_angle_beta 69.60
_cell_angle_gamma 90.00
_space_group_name_H-M_alt 'P 1'
_space_group_IT_number 1
loop_
_space_group_symop_operation_xyz
'x,y,z'
loop_
_atom_site_label
_atom_site_type_symbol
_atom_site_fract_x
_atom_site_fract_y
_atom_site_fract_z
_atom_site_occupancy
Pd1 Pd 0.488 0.125 0.250 1
Pd2 Pd 0.875 0.738 0.750 1
Pd3 Pd 0.262 0.625 0.250 1
Pd4 Pd 0.375 0.512 0.750 1
O1 O 0.250 0.750 0.500 1
O2 O 0.500 0.500 0.000 1
Pt1 Pt 0.000 0.000 0.000 1
Pt2 Pt 0.750 0.250 0.500 1
```



# 3
The following is a DFT calculation (PBE-GGA) of PdPt2O6 after structural relaxation.

Output
Energy relative to the elements, uncorrected in meV per atom: -417.0
Size of the total moment in μB per formula unit: 0.00

```
data_PdPt2O6
_cell_length_a 3.148
_cell_length_b 6.078
_cell_length_c 6.835
_cell_angle_alpha 100.03
_cell_angle_beta 103.31
_cell_angle_gamma 90.00
_space_group_name_H-M_alt 'P 1'
_space_group_IT_number 1
loop_
_space_group_symop_operation_xyz
'x,y,z'
loop_
_atom_site_label
_atom_site_type_symbol
_atom_site_fract_x
_atom_site_fract_y
_atom_site_fract_z
_atom_site_occupancy
O1 O 0.345 0.888 0.690 1
O2 O 0.988 0.779 0.977 1
O3 O 0.655 0.112 0.310 1
O4 O 0.678 0.552 0.357 1
O5 O 0.322 0.448 0.643 1
O6 O 0.012 0.221 0.023 1
Pt1 Pt 0.834 0.668 0.668 1
Pt2 Pt 0.166 0.332 0.332 1
Pd1 Pd 0.500 0.000 0.000 1
```